Computed, not measured: a relaxed Ca2Ho2Tl7 crystal at the PBE level of DFT.

Calculated values
Space group = Cmmm (65)

Unit cell a=6.9350 b=6.9350 c=8.3182 alpha=90.00 beta=90.00 gamma=118.02
Positions (direct):
Ca  0.2456  0.2456  0.0000
Ca  0.7544  0.7544  0.0000
Ho  0.2630  0.7370  0.5000
Ho  0.7370  0.2630  0.5000
Tl  0.0000  0.0000  0.5000
Tl  0.0000  0.5000  0.1863
Tl  0.0000  0.5000  0.8137
Tl  0.5000  0.0000  0.1863
Tl  0.5000  0.0000  0.8137
Tl  0.5000  0.5000  0.3139
Tl  0.5000  0.5000  0.6861

=====

Computed, not measured: a relaxed CaHo2Tl4 crystal at the PBE level of DFT.

Calculated values
Space group = I4/mmm (139)

Unit cell a=7.5415 b=7.5415 c=7.4160 alpha=90.00 beta=90.00 gamma=90.00
Positions (direct):
Ca  0.0000  0.0000  0.0000
Ca  0.5000  0.5000  0.5000
Ho  0.0000  0.5000  0.0000
Ho  0.0000  0.5000  0.5000
Ho  0.5000  0.0000  0.0000
Ho  0.5000  0.0000  0.5000
Tl  0.2500  0.2500  0.2500
Tl  0.2500  0.2500  0.7500
Tl  0.2500  0.7500  0.2500
Tl  0.2500  0.7500  0.7500
Tl  0.7500  0.2500  0.2500
Tl  0.7500  0.2500  0.7500
Tl  0.7500  0.7500  0.2500
Tl  0.7500  0.7500  0.7500

=====

Computed, not measured: a relaxed CaHo7Tl4 crystal at the PBE level of DFT.

Calculated values
Space group = C2/m (12)

Unit cell a=7.9864 b=7.9864 c=9.8340 alpha=119.49 beta=119.49 gamma=42.36
Positions (direct):
Ca  0.0000  0.0000  0.0000
Ho  0.0690  0.0690  0.4120
Ho  0.2088  0.2088  0.8784
Ho  0.2600  0.2600  0.3093
Ho  0.5000  0.5000  0.0000
Ho  0.7400  0.7400  0.6907
Ho  0.7912  0.7912  0.1216
Ho  0.9310  0.9310  0.5880
Tl  0.3162  0.3162  0.6638
Tl  0.4509  0.4509  0.2842
Tl  0.5491  0.5491  0.7158
Tl  0.6838  0.6838  0.3362

=====

Computed, not measured: a relaxed Ca2HoTl crystal at the PBE level of DFT.

Calculated values
Space group = R3m (160)
Excess energy over the best structure of this formula in the dataset = 98 meV/atom

Unit cell a=3.7211 b=3.7211 c=33.6763 alpha=90.00 beta=90.00 gamma=120.00
Positions (direct):
Ca  0.0000  0.0000  0.0000
Ca  0.0000  0.0000  0.1817
Ca  0.3333  0.6667  0.6667
Ca  0.3333  0.6667  0.8484
Ca  0.6667  0.3333  0.3333
Ca  0.6667  0.3333  0.5151
Ho  0.0000  0.0000  0.4251
Ho  0.3333  0.6667  0.0917
Ho  0.6667  0.3333  0.7584
Tl  0.0000  0.0000  0.5908
Tl  0.3333  0.6667  0.2575
Tl  0.6667  0.3333  0.9242

=====

Computed, not measured: a relaxed Ca4HoTl15 crystal at the PBE level of DFT.

Calculated values
Space group = P4/mmm (123)

Unit cell a=4.8346 b=4.8346 c=24.2791 alpha=90.00 beta=90.00 gamma=90.00
Positions (direct):
Ca  0.0000  0.0000  0.1015
Ca  0.0000  0.0000  0.3045
Ca  0.0000  0.0000  0.6955
Ca  0.0000  0.0000  0.8985
Ho  0.0000  0.0000  0.5000
Tl  0.0000  0.5000  0.0000
Tl  0.0000  0.5000  0.2021
Tl  0.0000  0.5000  0.4031
Tl  0.0000  0.5000  0.5969
Tl  0.0000  0.5000  0.7979
Tl  0.5000  0.0000  0.0000
Tl  0.5000  0.0000  0.2021
Tl  0.5000  0.0000  0.4031
Tl  0.5000  0.0000  0.5969
Tl  0.5000  0.0000  0.7979
Tl  0.5000  0.5000  0.1019
Tl  0.5000  0.5000  0.3016
Tl  0.5000  0.5000  0.5000
Tl  0.5000  0.5000  0.6984
Tl  0.5000  0.5000  0.8981

=====

Computed, not measured: a relaxed CaHo3Tl2 crystal at the PBE level of DFT.

Calculated values
Space group = Pmc2_1 (26)
Excess energy over the best structure of this formula in the dataset = 0 meV/atom

Unit cell a=5.3601 b=9.3773 c=6.8372 alpha=90.00 beta=90.00 gamma=90.00
Positions (direct):
Ca  0.0000  0.0196  0.0000
Ca  0.0000  0.9804  0.5000
Ho  0.0000  0.3337  0.7139
Ho  0.0000  0.6663  0.2139
Ho  0.5000  0.1717  0.2729
Ho  0.5000  0.4830  0.9859
Ho  0.5000  0.5170  0.4859
Ho  0.5000  0.8283  0.7729
Tl  0.0000  0.3375  0.2361
Tl  0.0000  0.6625  0.7361
Tl  0.5000  0.1646  0.7510
Tl  0.5000  0.8354  0.2510

=====

| no. | energy of formation (eV per atom) |
| --- | --- |
| 1 | -0.04 |
| 2 | -0.25 |
| 3 | 0.02 |
| 4 | -0.07 |
| 5 | -0.24 |
| 6 | -0.28 |